Material: Li2Si2Pd
Method: DFT, meta-GGA SCAN
State: single point on PBEsol structure

The value obtained for the total energy is -119.15 eV/cell. As for the formation energy from raw total energies: -38 kJ per mole of atoms. The calculated density comes out at 3.9 g cm⁻³. The magnetization comes out at 0.000 μB per atom.

```
data_Li2Si2Pd
_space_group_name_H-M_alt 'P 1'
_space_group_IT_number 1
_cell_length_a 4.001
_cell_length_b 6.139
_cell_length_c 6.139
_cell_angle_alpha 90.00
_cell_angle_beta 90.00
_cell_angle_gamma 90.00
loop_
_space_group_symop_operation_xyz
'x,y,z'
loop_
_atom_site_label
_atom_site_fract_x
_atom_site_fract_y
_atom_site_fract_z
Si1 0.000 0.367 0.867
Si2 0.000 0.867 0.633
Si3 0.000 0.633 0.133
Si4 0.000 0.133 0.367
Pd1 0.000 0.000 0.000
Pd2 0.000 0.500 0.500
Li1 0.500 0.171 0.671
Li2 0.500 0.671 0.829
Li3 0.500 0.829 0.329
Li4 0.500 0.329 0.171
```

Material: Li2SiPd2
Method: DFT, meta-GGA SCAN
State: single point on PBEsol structure

The energy above the most stable polymorph in this dataset comes out at 0.333 eV/atom. The value obtained for the total energy is -81.32 eV/cell. As for the formation energy from raw total energies: -19 kJ per mole of atoms. The calculated density comes out at 6.4 g cm⁻³. The magnetization comes out at 0.000 μB per atom.

```
data_Li2SiPd2
_space_group_name_H-M_alt 'P 1'
_space_group_IT_number 1
_cell_length_a 3.084
_cell_length_b 3.084
_cell_length_c 7.326
_cell_angle_alpha 102.15
_cell_angle_beta 102.15
_cell_angle_gamma 90.00
loop_
_space_group_symop_operation_xyz
'x,y,z'
loop_
_atom_site_label
_atom_site_fract_x
_atom_site_fract_y
_atom_site_fract_z
Si1 0.000 0.000 0.000
Pd1 0.403 0.403 0.806
Pd2 0.597 0.597 0.194
Li1 0.250 0.750 0.500
Li2 0.750 0.250 0.500
```

Material: Li2SiPd2
Method: DFT, meta-GGA SCAN
State: single point on PBEsol structure

The energy above the most stable polymorph in this dataset comes out at 0.000 eV/atom. The value obtained for the total energy is -165.98 eV/cell. As for the formation energy from raw total energies: -51 kJ per mole of atoms. The calculated density comes out at 5.5 g cm⁻³. The magnetization comes out at 0.000 μB per atom.

```
data_Li2SiPd2
_space_group_name_H-M_alt 'P 1'
_space_group_IT_number 1
_cell_length_a 4.144
_cell_length_b 6.082
_cell_length_c 6.082
_cell_angle_alpha 90.00
_cell_angle_beta 90.00
_cell_angle_gamma 90.00
loop_
_space_group_symop_operation_xyz
'x,y,z'
loop_
_atom_site_label
_atom_site_fract_x
_atom_site_fract_y
_atom_site_fract_z
Si1 0.000 0.000 0.000
Si2 0.000 0.500 0.500
Pd1 0.000 0.347 0.847
Pd2 0.000 0.847 0.653
Pd3 0.000 0.653 0.153
Pd4 0.000 0.153 0.347
Li1 0.500 0.162 0.662
Li2 0.500 0.662 0.838
Li3 0.500 0.838 0.338
Li4 0.500 0.338 0.162
```